# AlBMo GGA-PBE relaxed
# Energy of formation from the pure elements   -7.1 kcal/mol of atoms
# DOS at the Fermi energy   1.3 states/eV/f.u.
data_AlBMo
_chemical_formula_sum 'Al6 B6 Mo6'
_symmetry_space_group_name_H-M 'R 3 m'
_symmetry_Int_Tables_number 160
_symmetry_space_group_name_Hall 'R 3 -2"'
_cell_length_a 3.0029
_cell_length_b 3.0029
_cell_length_c 29.4351
_cell_angle_alpha 90.00
_cell_angle_beta 90.00
_cell_angle_gamma 120.00
loop_
_atom_site_label
_atom_site_type_symbol
_atom_site_fract_x
_atom_site_fract_y
_atom_site_fract_z
_atom_site_occupancy
Al1 Al 0.0000 0.0000 0.0000 1
Al2 Al 0.0000 0.0000 0.2530 1
B1 B 0.0000 0.0000 0.1262 1
B2 B 0.0000 0.0000 0.7930 1
Mo1 Mo 0.0000 0.0000 0.4060 1
Mo2 Mo 0.0000 0.0000 0.5131 1

***

# YHo2Hg GGA-PBE relaxed
# Energy above the lowest structure with this stoichiometry   55 meV per atom
# Energy of formation from the pure elements   -4.0 kcal/mol of atoms
# DOS at the Fermi energy   4.8 states/eV/f.u.
data_YHo2Hg
_chemical_formula_sum 'Y4 Ho8 Hg4'
_symmetry_space_group_name_H-M 'C m c m'
_symmetry_Int_Tables_number 63
_symmetry_space_group_name_Hall '-C 2c 2'
_cell_length_a 4.6893
_cell_length_b 11.8933
_cell_length_c 8.4867
_cell_angle_alpha 90.00
_cell_angle_beta 90.00
_cell_angle_gamma 90.00
loop_
_atom_site_label
_atom_site_type_symbol
_atom_site_fract_x
_atom_site_fract_y
_atom_site_fract_z
_atom_site_occupancy
Y1 Y 0.0000 0.0541 0.2500 1
Ho1 Ho 0.0000 0.3601 0.0474 1
Hg1 Hg 0.0000 0.2287 0.7500 1

***

# KPb GGA-PBE relaxed
# Energy above the lowest structure with this stoichiometry   86 meV per atom
# Energy of formation from the pure elements   -3.6 kcal/mol of atoms
# DOS at the Fermi energy   1.0 states/eV/f.u.
data_KPb
_chemical_formula_sum 'K6 Pb6'
_symmetry_space_group_name_H-M 'C 1 m 1'
_symmetry_Int_Tables_number 8
_cell_length_a 13.5838
_cell_length_b 4.5859
_cell_length_c 8.1198
_cell_angle_alpha 90.00
_cell_angle_beta 109.82
_cell_angle_gamma 90.00
loop_
_symmetry_equiv_pos_as_xyz
'x,y,z'
'x,-y,z'
'x+1/2,y+1/2,z'
'x+1/2,-y+1/2,z'
loop_
_atom_site_label
_atom_site_type_symbol
_atom_site_fract_x
_atom_site_fract_y
_atom_site_fract_z
_atom_site_occupancy
K1 K 0.0000 0.0000 0.0000 1
K2 K 0.0159 0.0000 0.4613 1
K3 K 0.3107 0.0000 0.6305 1
Pb1 Pb 0.1686 0.5000 0.8550 1
Pb2 Pb 0.2040 0.5000 0.2593 1
Pb3 Pb 0.3176 0.0000 0.1167 1

***

# SmNb4Se8 GGA-PBE relaxed
# DOS at the Fermi energy   4.7 states/eV/f.u.
# Formation energy without anion corrections   -12.41 eV/f.u.
data_SmNb4Se8
_chemical_formula_sum 'Sm3 Nb12 Se24'
_symmetry_space_group_name_H-M 'R -3 m'
_symmetry_Int_Tables_number 166
_symmetry_space_group_name_Hall '-R 3 2"'
_cell_length_a 7.1173
_cell_length_b 7.1173
_cell_length_c 21.2948
_cell_angle_alpha 90.00
_cell_angle_beta 90.00
_cell_angle_gamma 120.00
loop_
_atom_site_label
_atom_site_type_symbol
_atom_site_fract_x
_atom_site_fract_y
_atom_site_fract_z
_atom_site_occupancy
Sm1 Sm 0.0000 0.0000 0.0000 1
Nb1 Nb 0.0000 0.0000 0.5000 1
Nb2 Nb 0.0000 0.5000 0.5000 1
Se1 Se 0.0000 0.0000 0.2441 1
Se2 Se 0.0112 0.5056 0.2450 1

***

# TaZnTe2 GGA-PBE relaxed
# DOS at the Fermi energy   2.9 states/eV/f.u.
# Formation energy without anion corrections   1.24 eV/f.u.
data_TaZnTe2
_chemical_formula_sum 'Ta4 Zn4 Te8'
_symmetry_space_group_name_H-M 'I -4 2 d'
_symmetry_Int_Tables_number 122
_symmetry_space_group_name_Hall 'I -4 2bw'
_cell_length_a 6.4228
_cell_length_b 6.4228
_cell_length_c 12.0431
_cell_angle_alpha 90.00
_cell_angle_beta 90.00
_cell_angle_gamma 90.00
loop_
_atom_site_label
_atom_site_type_symbol
_atom_site_fract_x
_atom_site_fract_y
_atom_site_fract_z
_atom_site_occupancy
Ta1 Ta 0.0000 0.0000 0.0000 1
Zn1 Zn 0.0000 0.0000 0.5000 1
Te1 Te 0.2434 0.2500 0.6250 1

***

# PuSc2Si4 GGA-PBE relaxed
# DOS at the Fermi energy   9.4 states/eV/f.u.
# Formation energy without anion corrections   -4.68 eV/f.u.
data_PuSc2Si4
_chemical_formula_sum 'Pu2 Sc4 Si8'
_symmetry_space_group_name_H-M 'I m m m'
_symmetry_Int_Tables_number 71
_symmetry_space_group_name_Hall '-I 2 2'
_cell_length_a 3.7944
_cell_length_b 4.0142
_cell_length_c 16.9444
_cell_angle_alpha 90.00
_cell_angle_beta 90.00
_cell_angle_gamma 90.00
loop_
_atom_site_label
_atom_site_type_symbol
_atom_site_fract_x
_atom_site_fract_y
_atom_site_fract_z
_atom_site_occupancy
Pu1 Pu 0.0000 0.0000 0.0000 1
Sc1 Sc 0.0000 0.5000 0.3155 1
Si1 Si 0.0000 0.0000 0.4316 1
Si2 Si 0.0000 0.5000 0.1532 1

***

# Hg2PtRh GGA-PBE relaxed
# Energy of formation from the pure elements   4.0 kcal/mol of atoms
# DOS at the Fermi energy   3.9 states/eV/f.u.
data_Hg2PtRh
_chemical_formula_sum 'Hg4 Pt2 Rh2'
_symmetry_space_group_name_H-M 'I m m 2'
_symmetry_Int_Tables_number 44
_cell_length_a 2.9329
_cell_length_b 4.8599
_cell_length_c 10.2609
_cell_angle_alpha 90.00
_cell_angle_beta 90.00
_cell_angle_gamma 90.00
loop_
_symmetry_equiv_pos_as_xyz
'x,y,z'
'-x,-y,z'
'-x,y,z'
'x,-y,z'
'x+1/2,y+1/2,z+1/2'
'-x+1/2,-y+1/2,z+1/2'
'-x+1/2,y+1/2,z+1/2'
'x+1/2,-y+1/2,z+1/2'
loop_
_atom_site_label
_atom_site_type_symbol
_atom_site_fract_x
_atom_site_fract_y
_atom_site_fract_z
_atom_site_occupancy
Hg1 Hg 0.0000 0.0000 0.0000 1
Hg2 Hg 0.0000 0.5000 0.2202 1
Pt1 Pt 0.0000 0.0000 0.4657 1
Rh1 Rh 0.0000 0.5000 0.7430 1

***

# ZrAsPd GGA-PBE relaxed
# Energy of formation from the pure elements   -14.3 kcal/mol of atoms
# DOS at the Fermi energy   1.4 states/eV/f.u.
data_ZrAsPd
_chemical_formula_sum 'Zr2 As2 Pd2'
_symmetry_space_group_name_H-M 'I 4 m m'
_symmetry_Int_Tables_number 107
_symmetry_space_group_name_Hall 'I 4 -2'
_cell_length_a 3.6513
_cell_length_b 3.6513
_cell_length_c 8.3021
_cell_angle_alpha 90.00
_cell_angle_beta 90.00
_cell_angle_gamma 90.00
loop_
_atom_site_label
_atom_site_type_symbol
_atom_site_fract_x
_atom_site_fract_y
_atom_site_fract_z
_atom_site_occupancy
Zr1 Zr 0.0000 0.0000 0.0000 1
As1 As 0.0000 0.0000 0.3467 1
Pd1 Pd 0.0000 0.0000 0.6672 1

***

# NbAlFeRe2 GGA-PBE relaxed
# Energy of formation from the pure elements   54.8 kcal/mol of atoms
# DOS at the Fermi energy   9.0 states/eV/f.u.
data_NbAlFeRe2
_chemical_formula_sum 'Nb1 Al1 Fe1 Re2'
_symmetry_space_group_name_H-M 'P 4/m m m'
_symmetry_Int_Tables_number 123
_symmetry_space_group_name_Hall '-P 4 2'
_cell_length_a 4.7169
_cell_length_b 4.7169
_cell_length_c 4.7679
_cell_angle_alpha 90.00
_cell_angle_beta 90.00
_cell_angle_gamma 90.00
loop_
_atom_site_label
_atom_site_type_symbol
_atom_site_fract_x
_atom_site_fract_y
_atom_site_fract_z
_atom_site_occupancy
Nb1 Nb 0.0000 0.0000 0.0000 1
Al1 Al 0.0000 0.0000 0.5000 1
Fe1 Fe 0.5000 0.5000 0.5000 1
Re1 Re 0.0000 0.5000 0.0000 1

***

# CrNi2Pt GGA-PBE relaxed
# Energy of formation from the pure elements   -0.9 kcal/mol of atoms
# DOS at the Fermi energy   6.0 states/eV/f.u.
data_CrNi2Pt
_chemical_formula_sum 'Cr2 Ni4 Pt2'
_symmetry_space_group_name_H-M 'C 1 2/m 1'
_symmetry_Int_Tables_number 12
_cell_length_a 8.4728
_cell_length_b 2.6309
_cell_length_c 4.5130
_cell_angle_alpha 90.00
_cell_angle_beta 100.50
_cell_angle_gamma 90.00
loop_
_symmetry_equiv_pos_as_xyz
'x,y,z'
'-x,-y,-z'
'-x,y,-z'
'x,-y,z'
'x+1/2,y+1/2,z'
'-x+1/2,-y+1/2,-z'
'-x+1/2,y+1/2,-z'
'x+1/2,-y+1/2,z'
loop_
_atom_site_label
_atom_site_type_symbol
_atom_site_fract_x
_atom_site_fract_y
_atom_site_fract_z
_atom_site_occupancy
Cr1 Cr 0.0000 0.0000 0.0000 1
Ni1 Ni 0.2459 0.5000 0.2308 1
Pt1 Pt 0.0000 0.5000 0.5000 1

***

# BeSeCl2 GGA-PBE relaxed
# Energy above the lowest structure with this stoichiometry   950 meV per atom
# DOS at the Fermi energy   0.8 states/eV/f.u.
# Formation energy without anion corrections   1.41 eV/f.u.
data_BeSeCl2
_chemical_formula_sum 'Be1 Se1 Cl2'
_symmetry_space_group_name_H-M 'P m m m'
_symmetry_Int_Tables_number 47
_cell_length_a 3.3304
_cell_length_b 3.9720
_cell_length_c 5.9686
_cell_angle_alpha 90.00
_cell_angle_beta 90.00
_cell_angle_gamma 90.00
loop_
_symmetry_equiv_pos_as_xyz
'x,y,z'
'-x,-y,-z'
'-x,-y,z'
'x,y,-z'
'x,-y,-z'
'-x,y,z'
'-x,y,-z'
'x,-y,z'
loop_
_atom_site_label
_atom_site_type_symbol
_atom_site_fract_x
_atom_site_fract_y
_atom_site_fract_z
_atom_site_occupancy
Be1 Be 0.0000 0.0000 0.0000 1
Se1 Se 0.5000 0.0000 0.5000 1
Cl1 Cl 0.0000 0.5000 0.5000 1
Cl2 Cl 0.5000 0.5000 0.0000 1

***

# Y2AgBiO6 GGA-PBE relaxed
# Formation energy without anion corrections   -20.48 eV/f.u.
data_Y2AgBiO6
_chemical_formula_sum 'Y6 Ag3 Bi3 O18'
_symmetry_space_group_name_H-M 'R 3'
_symmetry_Int_Tables_number 146
_symmetry_space_group_name_Hall 'R 3'
_cell_length_a 5.8325
_cell_length_b 5.8325
_cell_length_c 15.6861
_cell_angle_alpha 90.00
_cell_angle_beta 90.00
_cell_angle_gamma 120.00
loop_
_atom_site_label
_atom_site_type_symbol
_atom_site_fract_x
_atom_site_fract_y
_atom_site_fract_z
_atom_site_occupancy
Y1 Y 0.0000 0.0000 0.0000 1
Y2 Y 0.0000 0.0000 0.4901 1
Ag1 Ag 0.0000 0.0000 0.2483 1
Bi1 Bi 0.0000 0.0000 0.7956 1
O1 O 0.0144 0.3347 0.4005 1
O2 O 0.0762 0.7037 0.5570 1

***

# TaMn2Au GGA-PBE relaxed
# Energy above the lowest structure with this stoichiometry   69 meV per atom
# Energy of formation from the pure elements   1.6 kcal/mol of atoms
# DOS at the Fermi energy   3.7 states/eV/f.u.
data_TaMn2Au
_chemical_formula_sum 'Ta2 Mn4 Au2'
_symmetry_space_group_name_H-M 'I 4/m m m'
_symmetry_Int_Tables_number 139
_symmetry_space_group_name_Hall '-I 4 2'
_cell_length_a 4.0108
_cell_length_b 4.0108
_cell_length_c 7.6167
_cell_angle_alpha 90.00
_cell_angle_beta 90.00
_cell_angle_gamma 90.00
loop_
_atom_site_label
_atom_site_type_symbol
_atom_site_fract_x
_atom_site_fract_y
_atom_site_fract_z
_atom_site_occupancy
Ta1 Ta 0.0000 0.0000 0.0000 1
Mn1 Mn 0.0000 0.5000 0.2500 1
Au1 Au 0.0000 0.0000 0.5000 1

***

# CrPBrCl2 GGA-PBE relaxed
# Energy above the lowest structure with this stoichiometry   0 meV per atom
# DOS at the Fermi energy   2.2 states/eV/f.u.
# Formation energy without anion corrections   0.25 eV/f.u.
data_CrPBrCl2
_chemical_formula_sum 'Cr1 P1 Br1 Cl2'
_symmetry_space_group_name_H-M 'P 4/m m m'
_symmetry_Int_Tables_number 123
_symmetry_space_group_name_Hall '-P 4 2'
_cell_length_a 4.6217
_cell_length_b 4.6217
_cell_length_c 5.3028
_cell_angle_alpha 90.00
_cell_angle_beta 90.00
_cell_angle_gamma 90.00
loop_
_atom_site_label
_atom_site_type_symbol
_atom_site_fract_x
_atom_site_fract_y
_atom_site_fract_z
_atom_site_occupancy
Cr1 Cr 0.0000 0.0000 0.0000 1
P1 P 0.0000 0.0000 0.5000 1
Br1 Br 0.5000 0.5000 0.0000 1
Cl1 Cl 0.0000 0.5000 0.5000 1

***

# Zn2WCl GGA-PBE relaxed
# Energy above the lowest structure with this stoichiometry   27 meV per atom
# DOS at the Fermi energy   2.7 states/eV/f.u.
# Formation energy without anion corrections   0.73 eV/f.u.
data_Zn2WCl
_chemical_formula_sum 'Zn6 W3 Cl3'
_symmetry_space_group_name_H-M 'R 3 m'
_symmetry_Int_Tables_number 160
_symmetry_space_group_name_Hall 'R 3 -2"'
_cell_length_a 2.9246
_cell_length_b 2.9246
_cell_length_c 30.8294
_cell_angle_alpha 90.00
_cell_angle_beta 90.00
_cell_angle_gamma 120.00
loop_
_atom_site_label
_atom_site_type_symbol
_atom_site_fract_x
_atom_site_fract_y
_atom_site_fract_z
_atom_site_occupancy
Zn1 Zn 0.0000 0.0000 0.0000 1
Zn2 Zn 0.0000 0.0000 0.2553 1
W1 W 0.0000 0.0000 0.5171 1
Cl1 Cl 0.0000 0.0000 0.7926 1

***

# Ba2CdGe GGA-PBE relaxed
# Energy of formation from the pure elements   2.0 kcal/mol of atoms
# DOS at the Fermi energy   1.7 states/eV/f.u.
data_Ba2CdGe
_chemical_formula_sum 'Ba8 Cd4 Ge4'
_symmetry_space_group_name_H-M 'I -4 2 d'
_symmetry_Int_Tables_number 122
_symmetry_space_group_name_Hall 'I -4 2bw'
_cell_length_a 6.3227
_cell_length_b 6.3227
_cell_length_c 19.5829
_cell_angle_alpha 90.00
_cell_angle_beta 90.00
_cell_angle_gamma 90.00
loop_
_atom_site_label
_atom_site_type_symbol
_atom_site_fract_x
_atom_site_fract_y
_atom_site_fract_z
_atom_site_occupancy
Ba1 Ba 0.2211 0.2500 0.1250 1
Cd1 Cd 0.0000 0.0000 0.5000 1
Ge1 Ge 0.0000 0.0000 0.0000 1

***

# Ba2CuAs2 GGA-PBE relaxed
# Energy above the lowest structure with this stoichiometry   285 meV per atom
# Energy of formation from the pure elements   -12.8 kcal/mol of atoms
# DOS at the Fermi energy   1.3 states/eV/f.u.
data_Ba2CuAs2
_chemical_formula_sum 'Ba4 Cu2 As4'
_symmetry_space_group_name_H-M 'P 4/m b m'
_symmetry_Int_Tables_number 127
_symmetry_space_group_name_Hall '-P 4 2ab'
_cell_length_a 7.9430
_cell_length_b 7.9430
_cell_length_c 4.7361
_cell_angle_alpha 90.00
_cell_angle_beta 90.00
_cell_angle_gamma 90.00
loop_
_atom_site_label
_atom_site_type_symbol
_atom_site_fract_x
_atom_site_fract_y
_atom_site_fract_z
_atom_site_occupancy
Ba1 Ba 0.1847 0.3153 0.0000 1
Cu1 Cu 0.0000 0.0000 0.5000 1
As1 As 0.1119 0.6119 0.5000 1

***

# Cd2NiMo GGA-PBE relaxed
# Energy above the lowest structure with this stoichiometry   398 meV per atom
# Energy of formation from the pure elements   12.2 kcal/mol of atoms
# DOS at the Fermi energy   2.6 states/eV/f.u.
data_Cd2NiMo
_chemical_formula_sum 'Cd4 Ni2 Mo2'
_symmetry_space_group_name_H-M 'I 4/m m m'
_symmetry_Int_Tables_number 139
_symmetry_space_group_name_Hall '-I 4 2'
_cell_length_a 4.0910
_cell_length_b 4.0910
_cell_length_c 8.1891
_cell_angle_alpha 90.00
_cell_angle_beta 90.00
_cell_angle_gamma 90.00
loop_
_atom_site_label
_atom_site_type_symbol
_atom_site_fract_x
_atom_site_fract_y
_atom_site_fract_z
_atom_site_occupancy
Cd1 Cd 0.0000 0.5000 0.2500 1
Ni1 Ni 0.0000 0.0000 0.0000 1
Mo1 Mo 0.0000 0.0000 0.5000 1

***

# V3Cr2H4 GGA-PBE relaxed
# DOS at the Fermi energy   7.6 states/eV/f.u.
# Raw total energy   -6.632 eV/atom
data_V3Cr2H4
_chemical_formula_sum 'V6 Cr4 H8'
_symmetry_space_group_name_H-M 'C 1 2/m 1'
_symmetry_Int_Tables_number 12
_cell_length_a 8.8137
_cell_length_b 2.5743
_cell_length_c 6.7694
_cell_angle_alpha 90.00
_cell_angle_beta 107.41
_cell_angle_gamma 90.00
loop_
_symmetry_equiv_pos_as_xyz
'x,y,z'
'-x,-y,-z'
'-x,y,-z'
'x,-y,z'
'x+1/2,y+1/2,z'
'-x+1/2,-y+1/2,-z'
'-x+1/2,y+1/2,-z'
'x+1/2,-y+1/2,z'
loop_
_atom_site_label
_atom_site_type_symbol
_atom_site_fract_x
_atom_site_fract_y
_atom_site_fract_z
_atom_site_occupancy
V1 V 0.0000 0.0000 0.0000 1
V2 V 0.1044 0.5000 0.3858 1
Cr1 Cr 0.1841 0.5000 0.8029 1
H1 H 0.1624 0.5000 0.0746 1
H2 H 0.1781 0.0000 0.6046 1

***

# Na3TaH7 GGA-PBE relaxed
# DOS at the Fermi energy   3.5 states/eV/f.u.
# Raw total energy   -3.681 eV/atom
data_Na3TaH7
_chemical_formula_sum 'Na6 Ta2 H14'
_symmetry_space_group_name_H-M 'C 1 m 1'
_symmetry_Int_Tables_number 8
_cell_length_a 7.4107
_cell_length_b 7.2500
_cell_length_c 5.9678
_cell_angle_alpha 90.00
_cell_angle_beta 125.04
_cell_angle_gamma 90.00
loop_
_symmetry_equiv_pos_as_xyz
'x,y,z'
'x,-y,z'
'x+1/2,y+1/2,z'
'x+1/2,-y+1/2,z'
loop_
_atom_site_label
_atom_site_type_symbol
_atom_site_fract_x
_atom_site_fract_y
_atom_site_fract_z
_atom_site_occupancy
Na1 Na 0.0000 0.0000 0.0000 1
Na2 Na 0.4968 0.2344 0.5003 1
Ta1 Ta 0.0600 0.5000 0.0456 1
H1 H 0.1125 0.2761 0.2215 1
H2 H 0.1342 0.5000 0.7945 1
H3 H 0.3513 0.0000 0.1306 1
H4 H 0.3514 0.1571 0.7686 1
H5 H 0.3644 0.5000 0.2720 1